No. 1
Entry from the Alexandria database: crystalline Er2Pd2O7 at its relaxed geometry (GGA-PBE).

The relative energy among the computed polymorphs is 4.31 eV/f.u. The magnetization comes out at 0.000 Bohr magnetons per cell. The formation energy from raw total energies is -1.545 eV/atom.

The structure belongs to space group P-1 (No. 2); the cell edges are 4.949, 5.480 and 5.553 Å and the angles 106.99°, 99.89° and 94.77°. The distinct sites, in fractional coordinates, are Er at (0.117, 0.286, 0.206), Pd at (0.459, 0.235, 0.740), O at (0.244, 0.018, 0.899), O at (0.244, 0.511, 0.941), O at (0.252, 0.979, 0.400) and O at (0.500, 0.500, 0.500).

***

No. 2
Entry from the Alexandria database: crystalline TlSn5Br12 at its relaxed geometry (GGA-PBE).

The magnetization comes out at 0.000 Bohr magnetons per cell. The formation energy from raw total energies is -0.724 eV/atom.

The structure belongs to space group C2/m (No. 12); the cell edges are 7.682, 13.389 and 13.843 Å and the angles 90.00°, 90.76° and 90.00°. The distinct sites, in fractional coordinates, are Tl at (0.000, 0.000, 0.000), Sn at (0.000, 0.167, 0.500), Sn at (0.000, 0.333, 0.000), Sn at (0.000, 0.500, 0.500), Br at (0.123, 0.500, 0.119), Br at (0.163, 0.000, 0.382), Br at (0.163, 0.333, 0.383) and Br at (0.191, 0.189, 0.118).